# 1
Density functional theory data (GGA-PBE) for a geometry-optimized YHoSbBr2 structure.

Unit cell a=4.2121 b=4.2121 c=10.7835 alpha=90.00 beta=90.00 gamma=120.00
Space group P3m1 (No. 156)
One atom of each set of equivalent atoms:
1 Y 0.0000 0.0000 0.0000
2 Ho 0.3333 0.6667 0.3205
3 Sb 0.6667 0.3333 0.1616
4 Br 0.0000 0.0000 0.4780
5 Br 0.3333 0.6667 0.8410

Electronic total energy ... -5.16 eV/atom
Spin magnetization ... 0.003 μB/f.u.

# 2
Density functional theory data (GGA-PBE) for a geometry-optimized TbHoSe2Br2 structure.

Unit cell a=4.106 b=5.623 c=8.505 alpha=90.00 beta=90.00 gamma=90.00
Space group Pmm2 (No. 25)
One atom of each set of equivalent atoms:
1 Tb 0.000 0.000 0.000
2 Ho 0.500 0.500 0.277
3 Se 0.000 0.500 0.042
4 Se 0.500 0.000 0.238
5 Br 0.000 0.500 0.502
6 Br 0.500 0.000 0.771

Electronic total energy ... -5.14 eV/atom
Spin magnetization ... 0.008 μB/f.u.

# 3
Density functional theory data (GGA-PBE) for a geometry-optimized YHoSe2Br2 structure.

Unit cell a=4.103 b=5.624 c=8.682 alpha=90.00 beta=90.00 gamma=90.00
Space group Pmm2 (No. 25)
One atom of each set of equivalent atoms:
1 Y 0.000 0.000 0.000
2 Ho 0.500 0.500 0.266
3 Se 0.000 0.500 0.036
4 Se 0.500 0.000 0.233
5 Br 0.000 0.500 0.487
6 Br 0.500 0.000 0.777

Electronic total energy ... -5.45 eV/atom
Spin magnetization ... 0.006 μB/f.u.

# 4
Density functional theory data (GGA-PBE) for a geometry-optimized TbHoBr6 structure.

Unit cell a=7.108 b=12.377 c=6.974 alpha=90.00 beta=110.65 gamma=90.00
Space group C2 (No. 5)
One atom of each set of equivalent atoms:
1 Tb 0.000 0.000 0.000
2 Ho 0.000 0.669 0.000
3 Br 0.231 0.833 0.246
4 Br 0.238 0.658 0.756
5 Br 0.241 0.013 0.756

Electronic total energy ... -4.28 eV/atom
Spin magnetization ... 0.001 μB/f.u.

# 5
Density functional theory data (GGA-PBE) for a geometry-optimized HoTl3Br6 structure.

Unit cell a=7.710 b=8.540 c=13.222 alpha=90.00 beta=122.06 gamma=90.00
Space group P2_1/c (No. 14)
One atom of each set of equivalent atoms:
1 Ho 0.000 0.000 0.000
2 Tl 0.298 0.080 0.766
3 Tl 0.500 0.000 0.500
4 Br 0.095 0.061 0.232
5 Br 0.236 0.726 0.078
6 Br 0.345 0.168 0.046

Electronic total energy ... -3.45 eV/atom
Spin magnetization ... 0.003 μB/f.u.

# 6
Density functional theory data (GGA-PBE) for a geometry-optimized YHoBr6 structure.

Unit cell a=7.086 b=12.314 c=6.959 alpha=90.00 beta=110.75 gamma=90.00
Space group C2 (No. 5)
One atom of each set of equivalent atoms:
1 Y 0.000 0.000 0.000
2 Ho 0.000 0.332 0.000
3 Br 0.233 0.167 0.246
4 Br 0.239 0.343 0.755
5 Br 0.241 0.988 0.755

Electronic total energy ... -4.51 eV/atom
Spin magnetization ... 0.001 μB/f.u.

# 7
Density functional theory data (GGA-PBE) for a geometry-optimized In2PtI6Br2 structure.

Unit cell a=13.897 b=9.033 c=8.173 alpha=90.00 beta=95.26 gamma=90.00
Space group C2/m (No. 12)
One atom of each set of equivalent atoms:
1 In 0.222 0.000 0.338
2 Pt 0.000 0.000 0.000
3 I 0.111 0.209 0.141
4 I 0.181 0.000 0.656
5 Br 0.103 0.500 0.713

Electronic total energy ... -2.65 eV/atom
Spin magnetization ... 0.004 μB/f.u.

# 8
Density functional theory data (GGA-PBE) for a geometry-optimized Ir2PdI6Br2 structure.

Unit cell a=13.038 b=8.675 c=7.766 alpha=90.00 beta=94.48 gamma=90.00
Space group C2/m (No. 12)
One atom of each set of equivalent atoms:
1 Ir 0.193 0.000 0.144
2 Pd 0.000 0.000 0.500
3 I 0.116 0.500 0.759
4 I 0.121 0.197 0.357
5 Br 0.214 0.000 0.842

Electronic total energy ... -3.06 eV/atom
Spin magnetization ... 0.005 μB/f.u.